# 1
Crystalline BaCrBr2 at its relaxed geometry, computed with GGA-PBE.

The structure in POSCAR format:
```
BaCrBr2
1.0
4.2703 0.0000 0.0000
0.0000 5.2919 0.0000
0.0000 0.0000 5.3045
Ba Cr Br
1 1 2
Cartesian
0.0000 0.0000 0.0000 Ba
0.0000 2.6459 2.6523 Cr
2.1352 0.0000 2.6523 Br
2.1352 2.6459 0.0000 Br
```

E above lowest polymorph (meV/atom): 101
Symmetry: Pmmm
Total DFT energy (no corrections) (Ha/atom): -0.1624
Total moment (μB per cell): 5.5
V (Å³/atom): 29.97
D(E_F) (states/eV/f.u.): 1.30
E_form (uncorrected) (eV per atom): -0.697


# 2
Crystalline SrPr8Y4 at its relaxed geometry, computed with GGA-PBE.

The structure in POSCAR format:
```
SrPr8Y4
1.0
5.8547 -2.6136 0.0000
5.8547 2.6136 0.0000
-1.0810 0.0000 15.2415
Sr Pr Y
1 8 4
Cartesian
0.0000 0.0000 0.0000 Sr
0.0439 0.0000 11.6241 Pr
2.4129 0.0000 4.7468 Pr
3.5079 0.0000 1.2674 Pr
4.7190 0.0000 9.3441 Pr
5.9095 0.0000 5.8975 Pr
7.1206 0.0000 13.9742 Pr
8.2156 0.0000 10.4948 Pr
10.5846 0.0000 3.6174 Pr
1.1995 0.0000 8.1809 Y
3.4978 0.0000 12.7667 Y
7.1307 0.0000 2.4748 Y
9.4290 0.0000 7.0607 Y
```

Symmetry: C2/m
Total DFT energy (no corrections) (Ha/atom): -0.1840
Total moment (μB per cell): 0.0
V (Å³/atom): 35.88
D(E_F) (states/eV/f.u.): 20.05


# 3
Crystalline CsSiHgTe3 at its relaxed geometry, computed with GGA-PBE.

The structure in POSCAR format:
```
CsSiHgTe3
1.0
6.8691 -4.2550 0.0000
6.8691 4.2550 0.0000
-1.9588 0.0000 8.2724
Cs Si Hg Te
2 2 2 6
Cartesian
1.7453 0.0000 1.9355 Cs
10.0340 0.0000 6.3368 Cs
6.4733 0.0000 1.1161 Si
5.3060 0.0000 7.1562 Si
5.8897 1.7560 4.1362 Hg
5.8897 -1.7560 4.1362 Hg
5.0946 2.1223 1.5029 Te
3.4655 0.0000 5.4507 Te
6.6847 2.1223 6.7694 Te
5.0946 -2.1223 1.5029 Te
8.3138 0.0000 2.8217 Te
6.6847 -2.1223 6.7694 Te
```

Symmetry: C2/m
Total DFT energy (no corrections) (Ha/atom): -0.1128
Total moment (μB per cell): 0.0
V (Å³/atom): 40.30
E_form (uncorrected) (eV per atom): -0.403


# 4
Crystalline BaAu3 at its relaxed geometry, computed with GGA-PBE.

The structure in POSCAR format:
```
BaAu3
1.0
4.3872 0.0000 0.0000
-2.1936 3.7994 0.0000
0.0000 0.0000 7.1330
Ba Au
1 3
Cartesian
0.0000 0.0000 0.0000 Ba
0.0000 0.0000 3.5665 Au
0.0000 2.5330 2.1562 Au
0.0000 2.5330 4.9768 Au
```

Symmetry: P-6m2
Total DFT energy (no corrections) (Ha/atom): -0.1171
Total moment (μB per cell): 0.0
V (Å³/atom): 29.72
D(E_F) (states/eV/f.u.): 2.44


# 5
Crystalline KBa2AuO at its relaxed geometry, computed with GGA-PBE.

The structure in POSCAR format:
```
KBa2AuO
1.0
5.4320 0.0000 0.0000
0.0000 5.4320 0.0000
0.0000 0.0000 5.3165
K Ba Au O
1 2 1 1
Cartesian
0.0000 0.0000 0.0000 K
0.0000 2.7160 2.6582 Ba
2.7160 0.0000 2.6582 Ba
2.7160 2.7160 0.0000 Au
0.0000 0.0000 2.6582 O
```

Symmetry: P4/mmm
Total DFT energy (no corrections) (Ha/atom): -0.1371
Total moment (μB per cell): 0.0
V (Å³/atom): 31.37
D(E_F) (states/eV/f.u.): 2.35
E_form (uncorrected) (eV per atom): -1.095


# 6
Crystalline NaMn2V at its relaxed geometry, computed with GGA-PBE.

The structure in POSCAR format:
```
NaMn2V
1.0
0.0000 3.1664 3.1664
3.1664 0.0000 3.1664
3.1664 3.1664 0.0000
Na Mn V
1 2 1
Cartesian
0.0000 0.0000 0.0000 Na
1.5832 1.5832 1.5832 Mn
4.7496 4.7496 4.7496 Mn
3.1664 3.1664 3.1664 V
```

E above lowest polymorph (meV/atom): 0
Symmetry: Fm-3m
Total DFT energy (no corrections) (Ha/atom): -0.2399
Total moment (μB per cell): 4.0
V (Å³/atom): 15.87
D(E_F) (states/eV/f.u.): 5.07


# 7
Crystalline Sm4Y5Ho at its relaxed geometry, computed with GGA-PBE.

The structure in POSCAR format:
```
Sm4Y5Ho
1.0
8.6753 -1.7748 0.0000
8.6753 1.7748 0.0000
-0.0262 0.0000 11.0759
Sm Y Ho
4 5 1
Cartesian
0.4857 0.0000 2.7557 Sm
6.0230 0.0000 2.7679 Sm
11.3014 0.0000 8.3080 Sm
16.8387 0.0000 8.3202 Sm
3.0141 0.0000 0.6178 Y
3.0132 0.0000 4.9006 Y
8.6622 0.0000 5.5379 Y
14.3112 0.0000 6.1752 Y
14.3103 0.0000 10.4580 Y
8.6753 0.0000 0.0000 Ho
```

E above lowest polymorph (meV/atom): 0
Symmetry: C2/m
Total DFT energy (no corrections) (Ha/atom): -0.1981
Total moment (μB per cell): 0.0
V (Å³/atom): 34.11
D(E_F) (states/eV/f.u.): 14.32


# 8
Crystalline Na2SiTe4Pb at its relaxed geometry, computed with GGA-PBE.

The structure in POSCAR format:
```
Na2SiTe4Pb
1.0
-4.1700 4.6703 6.2579
4.1700 -4.6703 6.2579
4.1700 4.6703 -6.2579
Na Si Te Pb
4 2 8 2
Cartesian
0.0000 0.0000 0.0000 Na
-2.0850 2.3351 3.1289 Na
0.0000 4.6703 0.0000 Na
2.0850 2.3351 3.1289 Na
2.0850 2.3351 -3.1289 Si
2.0850 -2.3351 3.1289 Si
4.1700 4.2925 -3.1797 Te
4.1700 -0.3777 3.1797 Te
2.0058 2.3351 -0.3223 Te
2.1642 -2.3351 5.9356 Te
2.0058 7.0054 0.3223 Te
2.1642 2.3351 6.5802 Te
0.0000 5.0480 3.0782 Te
0.0000 0.3777 9.4376 Te
4.1700 0.0000 0.0000 Pb
0.0000 0.0000 6.2579 Pb
```

Symmetry: Imma
Total DFT energy (no corrections) (Ha/atom): -0.1240
Total moment (μB per cell): 0.0
V (Å³/atom): 30.47
D(E_F) (states/eV/f.u.): 4.92
E_form (uncorrected) (eV per atom): -0.334


# 9
Crystalline Gd3Bi5O12 at its relaxed geometry, computed with GGA-PBE.

The structure in POSCAR format:
```
Gd3Bi5O12
1.0
-6.9395 6.9395 6.9395
6.9395 -6.9395 6.9395
6.9395 6.9395 -6.9395
Gd Bi O
12 20 48
Cartesian
3.4697 1.7349 0.0000 Gd
6.9395 3.4697 -1.7349 Gd
1.7349 0.0000 3.4697 Gd
8.6744 0.0000 3.4697 Gd
0.0000 3.4697 1.7349 Gd
3.4697 -1.7349 6.9395 Gd
3.4697 8.6744 0.0000 Gd
6.9395 3.4697 5.2046 Gd
-1.7349 6.9395 3.4697 Gd
5.2046 6.9395 3.4697 Gd
0.0000 3.4697 8.6744 Gd
3.4697 5.2046 6.9395 Gd
0.0000 0.0000 0.0000 Bi
3.4697 3.4697 -3.4697 Bi
3.4697 -3.4697 3.4697 Bi
6.9395 0.0000 0.0000 Bi
10.4092 1.7349 0.0000 Bi
6.9395 -3.4697 5.2046 Bi
5.2046 6.9395 -3.4697 Bi
5.2046 0.0000 3.4697 Bi
3.4697 5.2046 0.0000 Bi
6.9395 3.4697 1.7349 Bi
-3.4697 3.4697 3.4697 Bi
0.0000 6.9395 0.0000 Bi
0.0000 0.0000 6.9395 Bi
3.4697 3.4697 3.4697 Bi
0.0000 3.4697 5.2046 Bi
3.4697 1.7349 6.9395 Bi
1.7349 6.9395 3.4697 Bi
1.7349 0.0000 10.4092 Bi
0.0000 10.4092 1.7349 Bi
-3.4697 5.2046 6.9395 Bi
2.1426 -0.2531 1.0029 O
8.2666 4.4726 -3.7228 O
6.6864 -1.0029 2.1426 O
10.6623 -1.3272 2.4669 O
9.0821 0.2531 1.0029 O
8.2666 -2.4669 3.7228 O
1.0029 2.1426 -0.2531 O
9.4064 3.2167 -1.3272 O
4.4726 3.7228 -1.3272 O
5.9366 2.1426 0.2531 O
-0.2531 1.0029 2.1426 O
3.7228 -1.3272 4.4726 O
6.6864 5.9366 -2.1426 O
3.7228 1.3272 2.4669 O
5.9366 -2.1426 6.6864 O
4.4726 -3.7228 8.2666 O
2.4669 3.7228 1.3272 O
7.9423 4.7969 0.2531 O
2.1426 6.6864 -1.0029 O
8.2666 2.4669 3.2167 O
3.7228 8.2666 -2.4669 O
6.6864 1.0029 4.7969 O
1.3272 2.4669 3.7228 O
2.1426 0.2531 5.9366 O
4.7969 6.6864 1.0029 O
5.6123 4.4726 3.2167 O
0.2531 5.9366 2.1426 O
3.2167 -1.3272 9.4064 O
-1.3272 4.4726 3.7228 O
4.7969 0.2531 7.9423 O
-1.0029 2.1426 6.6864 O
4.4726 3.2167 5.6123 O
2.4669 10.6623 -1.3272 O
1.0029 9.0821 0.2531 O
3.2167 5.6123 4.4726 O
0.2531 1.0029 9.0821 O
3.2167 8.2666 2.4669 O
7.1926 5.9366 4.7969 O
1.0029 4.7969 6.6864 O
2.4669 3.2167 8.2666 O
-2.4669 3.7228 8.2666 O
5.9366 4.7969 7.1926 O
-1.3272 9.4064 3.2167 O
-2.1426 6.6864 5.9366 O
-3.7228 8.2666 4.4726 O
0.2531 7.9423 4.7969 O
-1.3272 2.4669 10.6623 O
4.7969 7.1926 5.9366 O
```

Symmetry: Ia-3d
Total DFT energy (no corrections) (Ha/atom): -0.2904
Total moment (μB per cell): 83.9
V (Å³/atom): 16.71
E_form (uncorrected) (eV per atom): -1.844


# 10
Crystalline NaTm2ScSe4 at its relaxed geometry, computed with GGA-PBE.

The structure in POSCAR format:
```
NaTm2ScSe4
1.0
6.9250 0.0000 0.0000
0.0000 3.9891 0.0000
-2.2889 0.0000 6.6189
Na Tm Sc Se
1 2 1 4
Cartesian
0.0000 0.0000 0.0000 Na
2.3181 0.0000 3.3095 Tm
3.4625 1.9945 0.0000 Tm
-1.1444 1.9945 3.3095 Sc
-0.0067 0.0000 4.9257 Se
1.1552 1.9945 1.6994 Se
3.4809 1.9945 4.9195 Se
4.6428 0.0000 1.6932 Se
```

Symmetry: P2/m
Total DFT energy (no corrections) (Ha/atom): -0.2006
Total moment (μB per cell): 0.0
V (Å³/atom): 22.86
D(E_F) (states/eV/f.u.): 2.88
E_form (uncorrected) (eV per atom): -1.643


# 11
Crystalline CdInW2 at its relaxed geometry, computed with GGA-PBE.

The structure in POSCAR format:
```
CdInW2
1.0
0.0000 3.3010 3.3010
3.3010 0.0000 3.3010
3.3010 3.3010 0.0000
Cd In W
1 1 2
Cartesian
0.0000 0.0000 0.0000 Cd
3.3010 3.3010 3.3010 In
1.6505 1.6505 1.6505 W
4.9515 4.9515 4.9515 W
```

E above lowest polymorph (meV/atom): 635
Symmetry: Fm-3m
Total DFT energy (no corrections) (Ha/atom): -0.2327
Total moment (μB per cell): 0.0
V (Å³/atom): 17.98
D(E_F) (states/eV/f.u.): 4.40


# 12
Crystalline AcPmSm2P4 at its relaxed geometry, computed with GGA-PBE.

The structure in POSCAR format:
```
AcPmSm2P4
1.0
7.2797 0.0000 0.0000
0.0000 4.2021 0.0000
-2.4156 0.0000 6.8674
Ac Pm Sm P
1 1 2 4
Cartesian
0.0000 0.0000 0.0000 Ac
-1.2078 2.1010 3.4337 Pm
2.4321 0.0000 3.4337 Sm
3.6398 2.1010 0.0000 Sm
0.0679 0.0000 5.1184 P
1.2778 2.1010 1.7951 P
3.5864 2.1010 5.0723 P
4.7963 0.0000 1.7490 P
```

Symmetry: P2/m
Total DFT energy (no corrections) (Ha/atom): -0.2390
Total moment (μB per cell): 0.0
V (Å³/atom): 26.26
D(E_F) (states/eV/f.u.): 0.76